(1)
A plane-wave DFT calculation with PBEsol was carried out for CaNb3Te after structural relaxation.

Lattice parameters (Å, degrees): 5.0732 5.0732 5.0732 90.00 90.00 90.00
Positions (direct):
Ca  0.0000  0.0000  0.0000
Nb  0.0000  0.5000  0.5000
Nb  0.5000  0.0000  0.5000
Nb  0.5000  0.5000  0.0000
Te  0.5000  0.5000  0.5000

Results
- Symmetry: Pm-3m (221)
- Formation energy without anion corrections: 1.100 eV per atom
- Mass density: 5.68 Mg/m³

(2)
A plane-wave DFT calculation with PBEsol was carried out for Ca2NbTl2 after structural relaxation.

Lattice parameters (Å, degrees): 9.1227 9.1227 9.1227 153.49 153.49 37.83
Positions (direct):
Ca  0.0957  0.0957  0.0000
Ca  0.9043  0.9043  0.0000
Nb  0.5000  0.5000  0.0000
Tl  0.2500  0.7500  0.5000
Tl  0.7500  0.2500  0.5000

Results
- Symmetry: I4/mmm (139)
- ΔE_f: 0.606 eV/atom
- Mass density: 6.40 Mg/m³

(3)
A plane-wave DFT calculation with PBEsol was carried out for Ca2ZrNb after structural relaxation.

Lattice parameters (Å, degrees): 5.2508 5.2508 5.2508 60.00 60.00 60.00
Positions (direct):
Ca  0.2500  0.2500  0.2500
Ca  0.7500  0.7500  0.7500
Zr  0.0000  0.0000  0.0000
Nb  0.5000  0.5000  0.5000

Results
- Symmetry: Fm-3m (225)
- ΔE_f: 0.889 eV/atom
- Mass density: 4.29 Mg/m³

(4)
A plane-wave DFT calculation with PBEsol was carried out for Ca3Nd after structural relaxation.

Lattice parameters (Å, degrees): 5.9592 5.9592 5.9592 60.00 60.00 60.00
Positions (direct):
Ca  0.0000  0.0000  0.0000
Ca  0.2500  0.2500  0.2500
Ca  0.7500  0.7500  0.7500
Nd  0.5000  0.5000  0.5000

Results
- Symmetry: Fm-3m (225)
- ΔE_f: 0.100 eV/atom
- Mass density: 2.93 Mg/m³

(5)
A plane-wave DFT calculation with PBEsol was carried out for Ca3Nd2Sb3O14 after structural relaxation.

Lattice parameters (Å, degrees): 7.4446 7.4446 7.4011 119.20 119.20 60.67
Positions (direct):
Ca  0.0000  0.0000  0.0000
Ca  0.0000  0.0000  0.5000
Ca  0.5000  0.5000  0.0000
Nd  0.0000  0.5000  0.5000
Nd  0.5000  0.0000  0.5000
Sb  0.0000  0.5000  0.0000
Sb  0.5000  0.0000  0.0000
Sb  0.5000  0.5000  0.5000
O  0.1236  0.1236  0.3795
O  0.1289  0.5975  0.9036
O  0.1826  0.5872  0.3192
O  0.1867  0.1867  0.9067
O  0.4034  0.4034  0.6316
O  0.4025  0.8711  0.0964
O  0.4128  0.8174  0.6808
O  0.5872  0.1826  0.3192
O  0.5975  0.1289  0.9036
O  0.5966  0.5966  0.3684
O  0.8133  0.8133  0.0933
O  0.8174  0.4128  0.6808
O  0.8711  0.4025  0.0964
O  0.8764  0.8764  0.6205

Results
- Symmetry: C2/m (12)
- Formation energy without anion corrections: -2.403 eV per atom
- Mass density: 5.62 Mg/m³

(6)
A plane-wave DFT calculation with PBEsol was carried out for CaNd2Ti2ZnO9 after structural relaxation.

Lattice parameters (Å, degrees): 5.4052 5.5952 23.1609 90.03 90.20 90.27
Positions (direct):
Ca  0.0000  0.0000  0.0000
Ca  0.0000  0.0002  0.3308
Ca  0.4985  0.3940  0.8274
Ca  0.5003  0.3948  0.1584
Nd  0.0072  0.0083  0.6636
Nd  0.4734  0.5091  0.6651
Nd  0.4771  0.5140  0.0000
Nd  0.4777  0.5144  0.3304
Nd  0.5074  0.3940  0.4948
Nd  0.9744  0.8954  0.4948
Nd  0.9772  0.8968  0.1594
Nd  0.9773  0.8975  0.8291
Ti  0.4740  0.9637  0.9155
Ti  0.4749  0.9644  0.2464
Ti  0.4913  0.9512  0.5796
Ti  0.9751  0.4466  0.2444
Ti  0.9758  0.4463  0.9126
Ti  0.9828  0.4497  0.7472
Ti  0.9913  0.4451  0.0798
Ti  0.9979  0.4480  0.4121
Zn  0.4886  0.9532  0.4104
Zn  0.4894  0.9555  0.0793
Zn  0.4908  0.9539  0.7485
Zn  0.9909  0.4519  0.5796
O  0.0794  0.4732  0.1637
O  0.0809  0.4741  0.8329
O  0.0840  0.4791  0.4922
O  0.1829  0.7403  0.7323
O  0.1839  0.7363  0.3938
O  0.1849  0.7367  0.0645
O  0.2021  0.7428  0.2603
O  0.2020  0.7435  0.9295
O  0.2027  0.7544  0.5963
O  0.2779  0.2567  0.7317
O  0.2819  0.2593  0.0654
O  0.2835  0.2598  0.3966
O  0.2863  0.2449  0.2613
O  0.2860  0.2451  0.9304
O  0.2981  0.2396  0.5974
O  0.3951  0.9789  0.4983
O  0.4040  0.9766  0.8351
O  0.4046  0.9750  0.1662
O  0.5843  0.9264  0.9926
O  0.5850  0.9269  0.3237
O  0.5858  0.9232  0.6607
O  0.6863  0.6653  0.5612
O  0.7005  0.6433  0.4256
O  0.7047  0.6450  0.7644
O  0.7058  0.6437  0.0941
O  0.7067  0.6543  0.2295
O  0.7065  0.6544  0.8984
O  0.7814  0.1475  0.5629
O  0.7883  0.1609  0.2290
O  0.7880  0.1614  0.8983
O  0.7955  0.1654  0.4284
O  0.8002  0.1620  0.0940
O  0.8030  0.1588  0.7629
O  0.8959  0.4260  0.6668
O  0.9060  0.4229  0.3261
O  0.9074  0.4257  0.9953

Results
- Symmetry: P1 (1)
- Formation energy without anion corrections: -3.045 eV per atom
- Mass density: 6.01 Mg/m³

(7)
A plane-wave DFT calculation with PBEsol was carried out for CaNd2Te4 after structural relaxation.

Lattice parameters (Å, degrees): 8.1484 8.1484 8.1484 109.74 109.74 108.93
Positions (direct):
Ca  0.0000  0.0000  0.0000
Ca  0.7500  0.2500  0.5000
Nd  0.2498  0.1250  0.6248
Nd  0.3750  0.7502  0.8752
Nd  0.5002  0.6250  0.3752
Nd  0.8750  0.4998  0.1248
Te  0.1250  0.3775  0.9003
Te  0.1275  0.3750  0.4003
Te  0.2729  0.8725  0.2476
Te  0.4771  0.2247  0.0997
Te  0.6225  0.5229  0.7476
Te  0.6250  0.0253  0.7524
Te  0.7753  0.8750  0.2524
Te  0.9747  0.7271  0.5997

Results
- Symmetry: I-42d (122)
- Formation energy without anion corrections: -1.511 eV per atom
- Mass density: 6.69 Mg/m³

(8)
A plane-wave DFT calculation with PBEsol was carried out for CaNi5 after structural relaxation.

Lattice parameters (Å, degrees): 6.1961 6.1961 6.1961 102.95 94.78 133.83
Positions (direct):
Ca  0.4844  0.2344  0.2500
Ca  0.5156  0.7656  0.7500
Ni  0.0000  0.0000  0.5000
Ni  0.0000  0.2419  0.2419
Ni  0.0000  0.5000  0.0000
Ni  0.0000  0.7581  0.7581
Ni  0.1414  0.7252  0.4162
Ni  0.1911  0.2748  0.9162
Ni  0.5000  0.2419  0.7419
Ni  0.5000  0.7581  0.2581
Ni  0.8089  0.7252  0.0838
Ni  0.8586  0.2748  0.5838

Results
- Symmetry: Imma (74)
- ΔE_f: -0.086 eV/atom
- Mass density: 7.04 Mg/m³

(9)
A plane-wave DFT calculation with PBEsol was carried out for CaNi after structural relaxation.

Lattice parameters (Å, degrees): 4.1112 4.1112 4.1112 54.23 54.23 54.23
Positions (direct):
Ca  0.0000  0.0000  0.0000
Ni  0.5000  0.5000  0.5000

Results
- Symmetry: R-3m (166)
- ΔE_f: 0.360 eV/atom
- Mass density: 3.86 Mg/m³

(10)
A plane-wave DFT calculation with PBEsol was carried out for CaNi after structural relaxation.

Lattice parameters (Å, degrees): 3.7396 3.7396 7.9934 90.00 90.00 120.00
Positions (direct):
Ca  0.3333  0.6667  0.2074
Ca  0.6667  0.3333  0.7926
Ni  0.3333  0.6667  0.5390
Ni  0.6667  0.3333  0.4610

Results
- Symmetry: P-3m1 (164)
- ΔE_f: 0.219 eV/atom
- Mass density: 3.39 Mg/m³

(11)
A plane-wave DFT calculation with PBEsol was carried out for CaNi2 after structural relaxation.

Lattice parameters (Å, degrees): 3.8637 3.8637 4.0045 90.00 90.00 120.00
Positions (direct):
Ca  0.0000  0.0000  0.0000
Ni  0.3333  0.6667  0.5000
Ni  0.6667  0.3333  0.5000

Results
- Symmetry: P6/mmm (191)
- ΔE_f: -0.021 eV/atom
- Mass density: 5.05 Mg/m³

(12)
A plane-wave DFT calculation with PBEsol was carried out for CaNi after structural relaxation.

Lattice parameters (Å, degrees): 7.5395 7.5395 7.5395 30.07 30.07 30.07
Positions (direct):
Ca  0.0863  0.0863  0.0863
Ca  0.9137  0.9137  0.9137
Ni  0.3331  0.3331  0.3331
Ni  0.6669  0.6669  0.6669

Results
- Symmetry: R-3m (166)
- ΔE_f: -0.131 eV/atom
- Mass density: 3.44 Mg/m³

- The highest mass density belongs to which entry?
  CaNi5

- Number 8 is which compound?
  CaNi5